Entry from the Alexandria database: an optimized crystal structure of MgSn2N2 (GGA-PBEsol).

E_form (uncorrected) (eV/atom): -0.124
Calculated density (Mg/m³): 5.447
Crystal system: tetragonal
Magnetic moment (μB per formula unit): 0.00

a b c (Å): 3.3260 3.3260 7.9849
angles (deg): 90.00 90.00 90.00
Space group P-4m2 (No. 115)
Unique sites:
Mg1 0.0000 0.0000 0.0000 [1 per cell]
Sn1 0.5000 0.5000 0.3125 [2 per cell]
N1 0.0000 0.5000 0.8453 [2 per cell]


Entry from the Alexandria database: an optimized crystal structure of MgSnN2 (GGA-PBEsol).

E_form (uncorrected) (eV/atom): 0.063
Calculated density (Mg/m³): 4.876
Crystal system: trigonal
Magnetic moment (μB per formula unit): 0.00

a b c (Å): 3.3343 3.3343 18.1466
angles (deg): 90.00 90.00 120.00
Space group R-3m (No. 166, hexagonal axes)
Unique sites:
Mg1 0.0000 0.0000 0.0000 [3 per cell]
Sn1 0.0000 0.0000 0.5000 [3 per cell]
N1 0.0000 0.0000 0.1066 [6 per cell]


Entry from the Alexandria database: an optimized crystal structure of MgSnN2 (GGA-PBEsol).

E_form (uncorrected) (eV/atom): -0.448
Calculated density (Mg/m³): 5.084
Crystal system: tetragonal
Magnetic moment (μB per formula unit): 0.00

a b c (Å): 4.8349 4.8349 9.5593
angles (deg): 90.00 90.00 90.00
Space group I-42d (No. 122)
Unique sites:
Mg1 0.0000 0.0000 0.0000 [4 per cell]
Sn1 0.0000 0.0000 0.5000 [4 per cell]
N1 0.2460 0.2500 0.6250 [8 per cell]


Entry from the Alexandria database: an optimized crystal structure of SrMg3N (GGA-PBEsol).

E_form (uncorrected) (eV/atom): 0.058
Calculated density (Mg/m³): 2.803
Crystal system: cubic
Magnetic moment (μB per formula unit): 0.00

a b c (Å): 4.6935 4.6935 4.6935
angles (deg): 90.00 90.00 90.00
Space group Pm-3m (No. 221)
Unique sites:
Sr1 0.0000 0.0000 0.0000 [1 per cell]
Mg1 0.0000 0.5000 0.5000 [3 per cell]
N1 0.5000 0.5000 0.5000 [1 per cell]


Entry from the Alexandria database: an optimized crystal structure of Sr3MgN (GGA-PBEsol).

E_form (uncorrected) (eV/atom): -0.345
Calculated density (Mg/m³): 3.360
Crystal system: cubic
Magnetic moment (μB per formula unit): 0.00

a b c (Å): 5.2998 5.2998 5.2998
angles (deg): 90.00 90.00 90.00
Space group Pm-3m (No. 221)
Unique sites:
Sr1 0.0000 0.0000 0.5000 [3 per cell]
Mg1 0.5000 0.5000 0.5000 [1 per cell]
N1 0.0000 0.0000 0.0000 [1 per cell]


Entry from the Alexandria database: an optimized crystal structure of SrMgTeN2 (GGA-PBEsol).

E_form (uncorrected) (eV/atom): 1.099
Calculated density (Mg/m³): 3.200
Crystal system: tetragonal
Magnetic moment (μB per formula unit): 4.13

a b c (Å): 4.6432 4.6432 6.4386
angles (deg): 90.00 90.00 90.00
Space group P4/mmm (No. 123)
Unique sites:
Sr1 0.0000 0.0000 0.0000 [1 per cell]
Mg1 0.5000 0.5000 0.5000 [1 per cell]
Te1 0.0000 0.0000 0.5000 [1 per cell]
N1 0.0000 0.5000 0.0000 [2 per cell]